1.
Computed, not measured: crystalline In3As2 at its relaxed geometry at the GGA-PBE level of DFT.

POSCAR file:
```
In3As2
1.0
0.000 6.645 2.990
6.317 0.000 2.990
6.317 6.645 0.000
In As
6 4
Cartesian
0.000 0.000 0.000 In
3.158 3.323 1.495 In
8.049 7.266 2.746 In
11.207 9.347 4.241 In
4.584 6.024 2.746 In
7.743 10.589 4.241 In
10.040 5.298 2.464 As
6.882 4.670 3.959 As
2.593 7.993 2.464 As
5.752 8.620 3.959 As
```

Summary:
Excess energy over the best structure of this formula in the dataset in eV per formula unit: 0.45
Crystal system: orthorhombic
Energy relative to the elements in eV per atom: 0.06


2.
Computed, not measured: crystalline K2Zr2CoSe6 at its relaxed geometry at the GGA-PBE level of DFT.

POSCAR file:
```
K2Zr2CoSe6
1.0
3.292 -5.695 0.000
3.292 5.695 0.000
-2.296 0.000 7.909
K Zr Co Se
2 2 1 6
Cartesian
3.292 3.762 0.000 K
3.292 -3.762 0.000 K
2.144 1.942 3.954 Zr
2.144 -1.942 3.954 Zr
-1.148 0.000 3.954 Co
-0.063 1.781 5.482 Se
0.872 0.000 2.511 Se
-0.063 -1.781 5.482 Se
4.351 1.781 2.426 Se
3.416 0.000 5.398 Se
4.351 -1.781 2.426 Se
```

Summary:
Formation energy from raw total energies in eV per atom: -1.075
Crystal system: monoclinic


3.
Computed, not measured: crystalline Ce5PmPb6 at its relaxed geometry at the GGA-PBE level of DFT.

POSCAR file:
```
Ce5PmPb6
1.0
3.939 -6.828 0.000
3.939 6.828 0.000
-2.630 0.000 7.428
Ce Pm Pb
5 1 6
Cartesian
0.000 0.000 0.000 Ce
2.623 4.545 3.714 Ce
3.939 2.250 0.000 Ce
3.939 -2.250 0.000 Ce
2.623 -4.545 3.714 Ce
2.623 0.000 3.714 Pm
1.295 2.302 1.834 Pb
-0.038 0.000 5.577 Pb
1.295 -2.302 1.834 Pb
3.952 2.302 5.594 Pb
5.285 0.000 1.851 Pb
3.952 -2.302 5.594 Pb
```

Summary:
Excess energy over the best structure of this formula in the dataset in eV per formula unit: 1.22
Crystal system: monoclinic
Energy relative to the elements in eV per atom: -0.31


4.
Computed, not measured: crystalline B2C at its relaxed geometry at the GGA-PBE level of DFT.

POSCAR file:
```
B2C
1.0
4.811 0.000 0.000
0.000 2.721 0.000
-0.069 0.000 6.619
B C
8 4
Cartesian
0.000 0.000 0.000 B
0.078 0.000 4.873 B
0.695 1.360 2.008 B
1.011 1.360 0.168 B
1.968 1.360 4.812 B
3.127 0.000 0.447 B
3.786 1.360 2.257 B
4.030 1.360 5.717 B
1.477 0.000 4.130 C
1.534 0.000 2.601 C
2.463 1.360 6.318 C
2.995 0.000 2.117 C
```

Summary:
Excess energy over the best structure of this formula in the dataset in eV per formula unit: 0.73
Crystal system: monoclinic
Energy relative to the elements in eV per atom: 0.43


| no. | calculated total energy (eV/atom) |
| --- | --- |
| 1 | -3.4439 |
| 2 | -5.3752 |
| 3 | -5.0355 |
| 4 | -7.0985 |